Here is Zn2CuAg after structural relaxation from Alexandria via LeMat-Bulk. Energies are from PBEsol.

```
Zn2CuAg
1.0
3.744 0.000 0.000
0.000 3.744 0.000
0.000 0.000 7.879
Zn Cu Ag
4 2 2
Direct
0.000 0.000 0.000 Zn
0.000 0.500 0.250 Zn
0.500 0.000 0.750 Zn
0.500 0.500 0.500 Zn
0.000 0.500 0.750 Cu
0.500 0.000 0.250 Cu
0.000 0.000 0.500 Ag
0.500 0.500 0.000 Ag
```

Theoretical density: 9089 kg/m3
Final energy: -2.75 eV/atom
V: 13.804 A^3/atom
DOS(E_F): 1.96 states/eV per cell
ΔE_f: -0.2 eV per formula unit